# 1
{"formula": "PmPr3Mg", "functional": "PBE", "state": "relaxed", "lattice_angstrom": [[10.006, -1.902, 0.000], [10.006, 1.902, 0.000], [-2.179, 0.000, 8.813]], "species": ["Pm", "Pm", "Pr", "Pr", "Pr", "Pr", "Pr", "Pr", "Mg", "Mg"], "fractional_positions": [[0.099, 0.099, 0.043], [0.901, 0.901, 0.957], [0.298, 0.298, 0.172], [0.313, 0.313, 0.625], [0.498, 0.498, 0.731], [0.502, 0.502, 0.269], [0.687, 0.687, 0.375], [0.702, 0.702, 0.828], [0.095, 0.095, 0.560], [0.905, 0.905, 0.440]], "dos_ef_per_ev_fu": 6.26, "e_tot_ev_per_fu": -20.78, "formation_energy_ev_per_atom": -0.02, "volume_a3_per_cell": 335, "magmom_total_mub_per_fu": 0.00}

***

# 2
{"formula": "Pm8Pr5Mg", "functional": "PBE", "state": "relaxed", "lattice_angstrom": [[-4.943, 4.943, 5.057], [4.943, -4.943, 5.057], [4.943, 4.943, -5.057]], "species": ["Pm", "Pm", "Pm", "Pm", "Pm", "Pm", "Pm", "Pm", "Pr", "Pr", "Pr", "Pr", "Pr", "Mg"], "fractional_positions": [[0.161, 0.435, 0.103], [0.332, 0.058, 0.897], [0.418, 0.155, 0.398], [0.565, 0.668, 0.726], [0.757, 0.020, 0.602], [0.845, 0.243, 0.264], [0.942, 0.839, 0.274], [0.980, 0.582, 0.736], [0.000, 0.000, 0.000], [0.209, 0.317, 0.688], [0.480, 0.791, 0.108], [0.629, 0.520, 0.312], [0.683, 0.371, 0.892], [0.250, 0.750, 0.500]], "dos_ef_per_ev_fu": 19.24, "e_tot_ev_per_fu": -60.50, "formation_energy_ev_per_atom": 0.21, "volume_a3_per_cell": 494, "magmom_total_mub_per_fu": 0.00}

***

# 3
{"formula": "Pm3PrMg", "functional": "PBE", "state": "relaxed", "lattice_angstrom": [[3.816, 0.000, 0.000], [0.000, 9.754, 0.000], [-1.893, 0.000, 9.447]], "species": ["Pm", "Pm", "Pm", "Pm", "Pm", "Pm", "Pr", "Pr", "Mg", "Mg"], "fractional_positions": [[0.101, 0.004, 0.201], [0.101, 0.496, 0.201], [0.302, 0.250, 0.603], [0.698, 0.750, 0.397], [0.899, 0.504, 0.799], [0.899, 0.996, 0.799], [0.488, 0.250, 0.978], [0.512, 0.750, 0.022], [0.333, 0.750, 0.668], [0.667, 0.250, 0.332]], "dos_ef_per_ev_fu": 6.07, "e_tot_ev_per_fu": -19.72, "formation_energy_ev_per_atom": 0.18, "volume_a3_per_cell": 352, "magmom_total_mub_per_fu": 0.00}